LaZr2Cd | PBE | relaxed

Properties
For the total energy, the calculation gives -5.677 eV per atom. Its total moment is 0.000 μB per formula unit.

Unit cell a=3.3297 b=3.3297 c=9.0510 alpha=90.00 beta=90.00 gamma=90.00
Positions (direct):
La  0.0000  0.0000  0.0000
Zr  0.5000  0.5000  0.2772
Zr  0.5000  0.5000  0.7228
Cd  0.0000  0.0000  0.5000